[1]
First-principles (PBE-GGA) data for an optimized crystal structure of Si3Pb, as listed in Alexandria.

Calculated values
The total energy comes out at -4.608 eV/atom. The calculation puts the uncorrected formation energy at 386.7 meV/atom. For the total moment, the calculation gives 0.0 μB per formula unit.

Unit cell a=3.7657 b=3.7657 c=7.0092 alpha=105.57 beta=105.57 gamma=60.30
With the nearest neighbours (Å) after each atom.
Sites, in units of the cell vectors:
Si 0.0000 0.0000 0.0000  6 Si 2.50-2.51
Si 0.2724 0.2724 0.8143  3 Si 2.50-2.51
Si 0.7276 0.7276 0.1857  3 Si 2.50-2.51
Pb 0.5000 0.5000 0.5000  6 Si 3.01-3.02

***

[2]
First-principles (PBE-GGA) data for an optimized crystal structure of Ba2PPd3, as listed in Alexandria.

Calculated values
Its formation energy is -0.69 eV per atom. The total energy comes out at -4.828 eV/atom. For the total moment, the calculation gives 0.0 μB per formula unit.

Unit cell a=4.3277 b=4.6617 c=7.7238 alpha=90.00 beta=90.00 gamma=90.00
With the nearest neighbours (Å) after each atom.
Sites, in units of the cell vectors:
Ba 0.0000 0.0000 0.0000  2 P 3.40, 10 Pd 3.41-3.71
Ba 0.5000 0.0000 0.4954  8 Pd 3.31-3.49, 4 P 3.48
P 0.0000 0.5000 0.6798  3 Pd 2.36-2.37
Pd 0.0000 0.5000 0.3744  1 P 2.36
Pd 0.5000 0.5000 0.1587  3 Pd 2.72-2.73
Pd 0.5000 0.5000 0.8063  2 P 2.37

***

Look up the total moment of the first one. 0.0 μB per formula unit